[1]
## SrLaB2As (PBE)

Data for a relaxed structure of SrLaB2As.

Crystal system: tetragonal
Space group: P4/mmm, No. 123
VASP energy, eV/cell: -16.73

a = 4.696 Å, b = 4.696 Å, c = 7.173 Å
α = 90.00°, β = 90.00°, γ = 90.00°
Fractional positions:
Sr (0.000, 0.000, 0.000)
La (0.000, 0.000, 0.500)
B (0.000, 0.500, 0.500)
B (0.500, 0.000, 0.500)
As (0.500, 0.500, 0.000)

[2]
## Th2InAs (PBE)

Data for a relaxed structure of Th2InAs.

Crystal system: tetragonal
Space group: P4/mmm, No. 123
Distance to the lowest polymorph of the same formula, meV/atom: 21
VASP energy, eV/cell: -24.94

a = 3.596 Å, b = 3.596 Å, c = 8.269 Å
α = 90.00°, β = 90.00°, γ = 90.00°
Fractional positions:
Th (0.000, 0.000, 0.220)
Th (0.000, 0.000, 0.780)
In (0.500, 0.500, 0.500)
As (0.500, 0.500, 0.000)

[3]
## CoSi2Ru (PBE)

Data for a relaxed structure of CoSi2Ru.

Formation energy without anion corrections, eV/atom: 0.01
Crystal system: tetragonal
Space group: P4mm, No. 99
VASP energy, eV/cell: -27.20

a = 2.674 Å, b = 2.674 Å, c = 7.175 Å
α = 90.00°, β = 90.00°, γ = 90.00°
Fractional positions:
Co (0.000, 0.000, 0.000)
Si (0.000, 0.000, 0.488)
Si (0.500, 0.500, 0.796)
Ru (0.500, 0.500, 0.254)

[4]
## TmSc2Tc (PBE)

Data for a relaxed structure of TmSc2Tc.

Crystal system: orthorhombic
Space group: Pnma, No. 62
Distance to the lowest polymorph of the same formula, meV/atom: 0
VASP energy, eV/cell: -112.81

a = 7.374 Å, b = 8.486 Å, c = 5.812 Å
α = 90.00°, β = 90.00°, γ = 90.00°
Fractional positions:
Tm (0.036, 0.250, 0.118)
Tm (0.464, 0.750, 0.618)
Tm (0.536, 0.250, 0.382)
Tm (0.964, 0.750, 0.882)
Sc (0.174, 0.063, 0.639)
Sc (0.174, 0.437, 0.639)
Sc (0.326, 0.563, 0.139)
Sc (0.326, 0.937, 0.139)
Sc (0.674, 0.063, 0.861)
Sc (0.674, 0.437, 0.861)
Sc (0.826, 0.563, 0.361)
Sc (0.826, 0.937, 0.361)
Tc (0.117, 0.750, 0.428)
Tc (0.383, 0.250, 0.928)
Tc (0.617, 0.750, 0.072)
Tc (0.883, 0.250, 0.572)

[5]
## K2NaMg (PBE)

Data for a relaxed structure of K2NaMg.

Crystal system: tetragonal
Space group: P4/mmm, No. 123
VASP energy, eV/cell: -4.52

a = 5.902 Å, b = 5.902 Å, c = 5.393 Å
α = 90.00°, β = 90.00°, γ = 90.00°
Fractional positions:
K (0.000, 0.500, 0.000)
K (0.500, 0.000, 0.000)
Na (0.000, 0.000, 0.500)
Mg (0.500, 0.500, 0.500)

[6]
## BeInHg (PBE)

Data for a relaxed structure of BeInHg.

Crystal system: orthorhombic
Space group: Fmm2, No. 42
Distance to the lowest polymorph of the same formula, meV/atom: 142
VASP energy, eV/cell: -5.47

a = 6.583 Å, b = 6.554 Å, c = 3.089 Å
α = 76.92°, β = 75.87°, γ = 27.20°
Fractional positions:
Be (0.000, 0.000, 0.000)
In (0.653, 0.653, 0.347)
Hg (0.376, 0.376, 0.624)

[7]
## Ag2MoN (PBE)

Data for a relaxed structure of Ag2MoN.

Formation energy without anion corrections, eV/atom: 0.81
Crystal system: tetragonal
Space group: I-42d, No. 122
VASP energy, eV/cell: -43.22

a = 6.313 Å, b = 6.313 Å, c = 6.313 Å
α = 95.56°, β = 95.56°, γ = 143.73°
Fractional positions:
Ag (0.014, 0.625, 0.889)
Ag (0.375, 0.264, 0.389)
Ag (0.736, 0.125, 0.111)
Ag (0.875, 0.986, 0.611)
Mo (0.250, 0.750, 0.500)
Mo (0.500, 0.500, 0.000)
N (0.000, 0.000, 0.000)
N (0.750, 0.250, 0.500)

[8]
## InFe2HRh (PBE)

Data for a relaxed structure of InFe2HRh.

Crystal system: tetragonal
Space group: P4/mmm, No. 123
VASP energy, eV/cell: -30.51

a = 3.842 Å, b = 3.842 Å, c = 4.077 Å
α = 90.00°, β = 90.00°, γ = 90.00°
Fractional positions:
In (0.000, 0.000, 0.000)
Fe (0.000, 0.500, 0.500)
Fe (0.500, 0.000, 0.500)
H (0.500, 0.500, 0.500)
Rh (0.500, 0.500, 0.000)